Pr2ScHg3 after structural relaxation, computed with PBE.

Properties
M_tot, μB per atom: 0.1064
Total DFT energy (no corrections), eV per atom: -3.24
Calculated density, g/cm3: 9.8
V, Å³/atom: 26.26

Lattice parameters (Å, degrees): 3.631 3.631 11.953 90.00 90.00 90.00
Each line ends with the local moment (μB).
Atoms (fractional coordinates):
Pr (0.500, 0.500, 0.180)  0.15
Hg (0.000, 0.000, 0.000)  0.01
Sc (0.500, 0.500, 0.500)  0.03
Hg (0.000, 0.000, 0.636)  0.01
Pr (0.500, 0.500, 0.820)  0.15
Hg (0.000, 0.000, 0.364)  0.01


BeRe2P after structural relaxation, computed with PBE.

Properties
Offset from the most stable computed form, meV/atom: 649
M_tot, μB per atom: 0.0009
Calculated density, g/cm3: 12.7
V, Å³/atom: 13.47

Lattice parameters (Å, degrees): 4.240 4.240 4.240 60.00 60.00 60.00
Atoms (fractional coordinates):
Re (0.000, 0.000, 0.000)
P (0.750, 0.750, 0.750)
Re (0.250, 0.250, 0.250)
Be (0.500, 0.500, 0.500)


CdCoPt2 after structural relaxation, computed with PBE.

Properties
M_tot, μB per atom: 0.4974
Total DFT energy (no corrections), eV per atom: -5.09
Calculated density, g/cm3: 15.0
V, Å³/atom: 15.56

Lattice parameters (Å, degrees): 9.156 9.156 9.156 17.74 17.74 17.74
Each line ends with the local moment (μB).
Atoms (fractional coordinates):
Cd (0.250, 0.250, 0.250)  -0.03
Pt (0.493, 0.493, 0.493)  0.14
Pt (0.007, 0.007, 0.007)  0.14
Co (0.750, 0.750, 0.750)  1.83


U4P5S after structural relaxation, computed with PBE.

Properties
Formation energy (no corrections), eV per atom: -0.7345
M_tot, μB per atom: 0.7872
Calculated density, g/cm3: 9.1
V, Å³/atom: 20.79

Lattice parameters (Å, degrees): 4.205 6.984 9.046 125.28 103.44 90.00
Each line ends with the local moment (μB).
Atoms (fractional coordinates):
S (0.500, 0.000, 0.000)  -0.07
P (0.216, 0.414, 0.432)  -0.03
U (0.322, 0.907, 0.645)  1.73
P (0.784, 0.586, 0.568)  -0.03
P (0.150, 0.812, 0.301)  -0.08
U (0.678, 0.093, 0.355)  1.73
P (0.850, 0.188, 0.699)  -0.08
U (0.962, 0.680, 0.924)  1.93
P (0.500, 0.500, 0.000)  -0.10
U (0.038, 0.320, 0.076)  1.93


Dy2Al2CdPd5 after structural relaxation, computed with PBE.

Properties
M_tot, μB per atom: 0.0000
Total DFT energy (no corrections), eV per atom: -5.09
Calculated density, g/cm3: 9.2
V, Å³/atom: 18.46

Lattice parameters (Å, degrees): 3.681 10.017 10.017 90.00 90.00 90.00
Atoms (fractional coordinates):
Pd (0.500, 0.214, 0.066)
Al (0.000, 0.882, 0.382)
Pd (0.500, 0.286, 0.566)
Dy (0.000, 0.321, 0.821)
Dy (0.000, 0.679, 0.179)
Dy (0.000, 0.821, 0.679)
Pd (0.500, 0.066, 0.786)
Cd (0.000, 0.000, 0.000)
Al (0.000, 0.618, 0.882)
Pd (0.500, 0.934, 0.214)
Pd (0.500, 0.500, 0.000)
Pd (0.500, 0.714, 0.434)
Dy (0.000, 0.179, 0.321)
Pd (0.500, 0.566, 0.714)
Al (0.000, 0.382, 0.118)
Cd (0.000, 0.500, 0.500)
Pd (0.500, 0.000, 0.500)
Pd (0.500, 0.786, 0.934)
Al (0.000, 0.118, 0.618)
Pd (0.500, 0.434, 0.286)


Nd3Zn8Ru3 after structural relaxation, computed with PBE.

Properties
M_tot, μB per atom: 0.0000
Total DFT energy (no corrections), eV per atom: -4.00
Calculated density, g/cm3: 8.1
V, Å³/atom: 18.54

Lattice parameters (Å, degrees): 4.352 8.225 8.225 68.58 74.66 74.66
Atoms (fractional coordinates):
Nd (0.500, 0.500, 0.500)
Zn (0.374, 0.344, 0.909)
Zn (0.626, 0.656, 0.091)
Zn (0.374, 0.909, 0.344)
Ru (0.000, 0.830, 0.170)
Zn (0.847, 0.509, 0.797)
Zn (0.153, 0.491, 0.203)
Zn (0.626, 0.091, 0.656)
Ru (0.500, 0.000, 0.000)
Zn (0.153, 0.203, 0.491)
Nd (0.802, 0.198, 0.198)
Nd (0.198, 0.802, 0.802)
Zn (0.847, 0.797, 0.509)
Ru (0.000, 0.170, 0.830)


RbPmI2O8 after structural relaxation, computed with PBE.

Properties
Formation energy (no corrections), eV per atom: -1.0412
M_tot, μB per atom: 0.1379
Calculated density, g/cm3: 3.6
V, Å³/atom: 23.81

Lattice parameters (Å, degrees): 6.357 6.357 8.163 90.00 90.00 120.00
Each line ends with the local moment (μB).
Atoms (fractional coordinates):
I (0.333, 0.667, 0.725)  0.09
O (0.326, 0.174, 0.317)  0.17
O (0.333, 0.667, 0.944)  0.03
I (0.667, 0.333, 0.275)  0.09
O (0.667, 0.333, 0.056)  0.03
O (0.674, 0.826, 0.683)  0.17
O (0.174, 0.848, 0.683)  0.17
O (0.152, 0.326, 0.683)  0.17
Rb (0.000, 0.000, 0.000)  0.00
Pm (0.000, 0.000, 0.500)  0.05
O (0.826, 0.152, 0.317)  0.17
O (0.848, 0.674, 0.317)  0.17


TlIrCl after structural relaxation, computed with PBE.

Properties
Formation energy (no corrections), eV per atom: 0.3818
Offset from the most stable computed form, meV/atom: 0
M_tot, μB per atom: 0.0022
Calculated density, g/cm3: 8.8
V, Å³/atom: 27.25

Lattice parameters (Å, degrees): 6.459 6.459 6.459 152.03 139.49 49.94
Atoms (fractional coordinates):
Ir (0.218, 0.218, 0.000)
Tl (0.758, 0.758, 0.000)
Cl (0.024, 0.024, 0.000)


CoHgTe2 after structural relaxation, computed with PBE.

Properties
Formation energy (no corrections), eV per atom: 0.5878
M_tot, μB per atom: 0.4322
Calculated density, g/cm3: 9.0
V, Å³/atom: 23.68

Lattice parameters (Å, degrees): 5.100 5.100 3.822 90.00 90.00 107.63
Each line ends with the local moment (μB).
Atoms (fractional coordinates):
Te (0.000, 0.000, 0.000)  0.02
Te (0.500, 0.500, 0.000)  0.02
Co (0.500, 0.000, 0.500)  1.74
Hg (0.000, 0.500, 0.500)  -0.02


CuIrBr4 after structural relaxation, computed with PBE.

Properties
Formation energy (no corrections), eV per atom: -0.1981
Offset from the most stable computed form, meV/atom: 0
M_tot, μB per atom: 0.0000
Calculated density, g/cm3: 5.8
V, Å³/atom: 27.68

Lattice parameters (Å, degrees): 3.756 9.268 9.965 82.62 79.14 78.31
Atoms (fractional coordinates):
Br (0.663, 0.238, 0.933)
Cu (0.751, 0.750, 0.250)
Br (0.835, 0.262, 0.567)
Ir (0.500, 0.500, 0.000)
Br (0.447, 0.939, 0.668)
Ir (0.000, 0.000, 0.500)
Br (0.053, 0.561, 0.832)
Br (0.337, 0.762, 0.067)
Cu (0.249, 0.250, 0.750)
Br (0.165, 0.738, 0.433)
Br (0.947, 0.439, 0.168)
Br (0.553, 0.061, 0.332)


Tb9Pm4Zn11 after structural relaxation, computed with PBE.

Properties
M_tot, μB per atom: 0.0000
Total DFT energy (no corrections), eV per atom: -3.35
Calculated density, g/cm3: 7.9
V, Å³/atom: 24.03

Lattice parameters (Å, degrees): 3.499 13.172 13.172 108.22 90.00 90.00
Atoms (fractional coordinates):
Tb (0.500, 0.620, 0.149)
Tb (0.500, 0.205, 0.019)
Tb (0.500, 0.981, 0.795)
Tb (0.500, 0.500, 0.500)
Zn (0.000, 0.632, 0.368)
Tb (0.500, 0.795, 0.981)
Zn (0.000, 0.210, 0.210)
Pm (0.500, 0.245, 0.418)
Tb (0.500, 0.380, 0.851)
Pm (0.500, 0.582, 0.755)
Zn (0.000, 0.000, 0.000)
Zn (0.000, 0.415, 0.049)
Zn (0.000, 0.821, 0.179)
Zn (0.000, 0.585, 0.951)
Pm (0.500, 0.418, 0.245)
Tb (0.500, 0.149, 0.620)
Zn (0.000, 0.790, 0.790)
Pm (0.500, 0.755, 0.582)
Zn (0.000, 0.368, 0.632)
Tb (0.500, 0.851, 0.380)
Zn (0.000, 0.179, 0.821)
Zn (0.000, 0.049, 0.415)
Zn (0.000, 0.951, 0.585)
Tb (0.500, 0.019, 0.205)


Ac4GaBi3 after structural relaxation, computed with PBE.

Properties
M_tot, μB per atom: 0.0000
Total DFT energy (no corrections), eV per atom: -4.65
Calculated density, g/cm3: 8.3
V, Å³/atom: 39.90

Lattice parameters (Å, degrees): 6.834 6.834 6.834 90.00 90.00 90.00
Atoms (fractional coordinates):
Ac (0.500, 0.000, 0.000)
Ac (0.000, 0.000, 0.500)
Bi (0.000, 0.500, 0.500)
Ga (0.000, 0.000, 0.000)
Ac (0.000, 0.500, 0.000)
Bi (0.500, 0.000, 0.500)
Ac (0.500, 0.500, 0.500)
Bi (0.500, 0.500, 0.000)


SrPmCd6 after structural relaxation, computed with PBE.

Properties
Offset from the most stable computed form, meV/atom: 5
M_tot, μB per atom: 0.0000
Calculated density, g/cm3: 7.2
V, Å³/atom: 26.09

Lattice parameters (Å, degrees): 5.051 6.825 6.825 117.48 90.00 90.00
Atoms (fractional coordinates):
Cd (0.500, 0.920, 0.080)
Cd (0.000, 0.048, 0.383)
Cd (0.500, 0.437, 0.112)
Cd (0.000, 0.617, 0.952)
Cd (0.000, 0.591, 0.409)
Pm (0.000, 0.097, 0.903)
Cd (0.500, 0.888, 0.563)
Sr (0.500, 0.401, 0.599)


CaCu12Si7 after structural relaxation, computed with PBE.

Properties
Formation energy (no corrections), eV per atom: 0.0103
M_tot, μB per atom: 0.0000
Calculated density, g/cm3: 6.0
V, Å³/atom: 13.88

Lattice parameters (Å, degrees): 6.233 7.466 7.466 112.57 106.16 106.16
Atoms (fractional coordinates):
Si (0.178, 0.650, 0.000)
Cu (0.260, 0.260, 0.521)
Cu (0.260, 0.521, 0.260)
Ca (0.000, 0.000, 0.000)
Cu (0.000, 0.260, 0.740)
Cu (0.905, 0.330, 0.330)
Cu (0.000, 0.740, 0.260)
Si (0.471, 0.650, 0.650)
Si (0.822, 0.000, 0.350)
Si (0.500, 0.000, 0.000)
Cu (0.740, 0.740, 0.479)
Si (0.529, 0.350, 0.350)
Cu (0.425, 0.000, 0.330)
Cu (0.095, 0.670, 0.670)
Si (0.178, 0.000, 0.650)
Cu (0.425, 0.330, 0.000)
Cu (0.575, 0.000, 0.670)
Cu (0.575, 0.670, 0.000)
Cu (0.740, 0.479, 0.740)
Si (0.822, 0.350, 0.000)


Cs2CdPtBr after structural relaxation, computed with PBE.

Properties
Formation energy (no corrections), eV per atom: -0.6245
M_tot, μB per atom: 0.0000
Calculated density, g/cm3: 4.8
V, Å³/atom: 45.43

Lattice parameters (Å, degrees): 6.600 6.600 5.214 90.00 90.00 90.00
Atoms (fractional coordinates):
Cs (0.500, 0.000, 0.000)
Cs (0.000, 0.500, 0.000)
Pt (0.000, 0.000, 0.000)
Cd (0.000, 0.000, 0.500)
Br (0.500, 0.500, 0.500)


TlPb after structural relaxation, computed with PBE.

Properties
M_tot, μB per atom: 0.0000
Total DFT energy (no corrections), eV per atom: -3.01
Calculated density, g/cm3: 10.9
V, Å³/atom: 31.30

Lattice parameters (Å, degrees): 5.535 3.447 6.626 82.00 90.00 90.00
Atoms (fractional coordinates):
Pb (0.500, 0.844, 0.737)
Tl (0.000, 0.461, 0.518)
Tl (0.500, 0.289, 0.232)
Pb (0.000, 0.906, 0.013)


InAsPdBr2 after structural relaxation, computed with PBE.

Properties
Formation energy (no corrections), eV per atom: 0.5062
Offset from the most stable computed form, meV/atom: 533
M_tot, μB per atom: 0.3233
Calculated density, g/cm3: 4.8
V, Å³/atom: 31.84

Lattice parameters (Å, degrees): 5.425 5.425 5.409 90.00 90.00 90.00
Each line ends with the local moment (μB).
Atoms (fractional coordinates):
Pd (0.500, 0.500, 0.500)  0.16
Br (0.500, 0.000, 0.000)  0.07
As (0.000, 0.000, 0.500)  0.57
Br (0.000, 0.500, 0.000)  0.07
In (0.000, 0.000, 0.000)  0.00


Re3AsPt after structural relaxation, computed with PBE.

Properties
Offset from the most stable computed form, meV/atom: 829
M_tot, μB per atom: 0.0000
Calculated density, g/cm3: 12.8
V, Å³/atom: 21.56

Lattice parameters (Å, degrees): 4.759 4.759 4.759 90.00 90.00 90.00
Atoms (fractional coordinates):
As (0.500, 0.500, 0.500)
Re (0.000, 0.500, 0.000)
Re (0.000, 0.000, 0.500)
Pt (0.000, 0.000, 0.000)
Re (0.500, 0.000, 0.000)


AcMg8Al4 after structural relaxation, computed with PBE.

Properties
M_tot, μB per atom: 0.0000
Total DFT energy (no corrections), eV per atom: -2.56
Calculated density, g/cm3: 3.0
V, Å³/atom: 22.23

Lattice parameters (Å, degrees): 5.714 7.664 7.664 82.01 68.11 68.11
Atoms (fractional coordinates):
Al (0.000, 0.500, 0.000)
Mg (0.000, 0.353, 0.647)
Mg (0.500, 0.217, 0.783)
Ac (0.000, 0.000, 0.000)
Mg (0.717, 0.783, 0.783)
Al (0.500, 0.500, 0.000)
Mg (0.000, 0.647, 0.353)
Mg (0.500, 0.783, 0.217)
Al (0.500, 0.000, 0.500)
Mg (0.647, 0.353, 0.353)
Al (0.000, 0.000, 0.500)
Mg (0.353, 0.647, 0.647)
Mg (0.283, 0.217, 0.217)


Y2Er2Rh3 after structural relaxation, computed with PBE.

Properties
Offset from the most stable computed form, meV/atom: 0
M_tot, μB per atom: 0.0000
Calculated density, g/cm3: 8.7
V, Å³/atom: 22.49

Lattice parameters (Å, degrees): 4.821 4.813 8.314 89.96 106.92 119.99
Atoms (fractional coordinates):
Rh (0.000, 0.000, 0.000)
Rh (0.501, 0.751, 0.252)
Er (0.749, 0.874, 0.624)
Y (0.246, 0.623, 0.870)
Y (0.754, 0.377, 0.130)
Rh (0.499, 0.249, 0.748)
Er (0.251, 0.126, 0.376)


DyPuPSe after structural relaxation, computed with PBE.

Properties
Formation energy (no corrections), eV per atom: -1.5885
M_tot, μB per atom: 1.3727
Calculated density, g/cm3: 9.0
V, Å³/atom: 23.74

Lattice parameters (Å, degrees): 4.058 4.058 7.057 73.29 73.29 60.00
Each line ends with the local moment (μB).
Atoms (fractional coordinates):
Pu (0.189, 0.189, 0.434)  5.24
P (0.444, 0.444, 0.669)  -0.07
Dy (0.699, 0.699, 0.902)  0.04
Se (0.945, 0.945, 0.166)  -0.05


CaSmTlI6 after structural relaxation, computed with PBE.

Properties
Formation energy (no corrections), eV per atom: -1.3108
M_tot, μB per atom: 0.0000
Calculated density, g/cm3: 4.5
V, Å³/atom: 47.19

Lattice parameters (Å, degrees): 8.034 8.034 15.196 90.00 90.00 120.00
Atoms (fractional coordinates):
I (0.637, 0.633, 0.132)
I (0.005, 0.367, 0.632)
Sm (0.667, 0.333, 0.250)
I (0.633, 0.995, 0.868)
I (0.367, 0.363, 0.368)
Ca (0.667, 0.333, 0.750)
I (0.637, 0.005, 0.368)
I (0.005, 0.637, 0.868)
I (0.363, 0.995, 0.632)
I (0.995, 0.633, 0.368)
Tl (0.000, 0.000, 0.000)
Sm (0.333, 0.667, 0.750)
Tl (0.000, 0.000, 0.500)
I (0.995, 0.363, 0.132)
I (0.363, 0.367, 0.868)
Ca (0.333, 0.667, 0.250)
I (0.367, 0.005, 0.132)
I (0.633, 0.637, 0.632)


KCoTe2 after structural relaxation, computed with PBE.

Properties
Formation energy (no corrections), eV per atom: -0.0772
M_tot, μB per atom: 0.4339
Calculated density, g/cm3: 4.6
V, Å³/atom: 32.17

Lattice parameters (Å, degrees): 4.237 4.237 8.644 90.00 90.00 123.99
Each line ends with the local moment (μB).
Atoms (fractional coordinates):
Co (0.500, 0.500, 0.250)  1.43
Te (0.000, 0.000, 0.067)  0.06
K (0.500, 0.500, 0.750)  0.00
Te (0.000, 0.000, 0.433)  0.06